Here is a relaxed structure of CoRu from Alexandria via LeMat-Bulk. Energies are from PBE.

abc: 7.648 7.648 7.648
angles: 91.55 91.55 161.05
Atoms (fractional coordinates):
1 Co 0.102 0.269 0.371
2 Co 0.269 0.898 0.167
3 Co 0.731 0.102 0.833
4 Co 0.898 0.731 0.629
5 Ru 0.113 0.752 0.865
6 Ru 0.248 0.113 0.360
7 Ru 0.752 0.887 0.640
8 Ru 0.887 0.248 0.135

Properties
Its raw total energy is -14.243 eV per formula unit. As for the calculated formation energy: 103.2 kJ per mole of atoms. For the calculated density, the calculation gives 7.4 g/cm3. The crystal system is tetragonal. As for the symmetry: I4/m, No. 87.